ZrZn2Rh: relaxed, PBEsol.

The structure in CIF format:
```
data_ZrZn2Rh
_chemical_formula_sum 'Zr1 Zn2 Rh1'
_cell_length_a 3.0731
_cell_length_b 3.0731
_cell_length_c 6.5818
_cell_angle_alpha 90.00
_cell_angle_beta 90.00
_cell_angle_gamma 90.00
_space_group_name_H-M_alt 'P 4 m m'
_space_group_IT_number 99
loop_
_space_group_symop_operation_xyz
'x,y,z'
'-y,x,z'
'-x,-y,z'
'y,-x,z'
'-x,y,z'
'y,x,z'
'x,-y,z'
'-y,-x,z'
loop_
_atom_site_label
_atom_site_type_symbol
_atom_site_fract_x
_atom_site_fract_y
_atom_site_fract_z
Zr1 Zr 0.0000 0.0000 0.0000
Zn1 Zn 0.0000 0.0000 0.4757
Zn2 Zn 0.5000 0.5000 0.6946
Rh1 Rh 0.5000 0.5000 0.2533
```

Output
The density of states at the Fermi level is 3.1 states/eV/f.u. The value obtained for the calculated formation energy is -0.39 eV per atom. The value obtained for the volume is 15.54 Å³/atom. Its total energy is -21.94 eV per cell. As for the crystal system: tetragonal.

=====

Zr2ZnRh: relaxed, PBEsol.

The structure in CIF format:
```
data_Zr2ZnRh
_chemical_formula_sum 'Zr4 Zn2 Rh2'
_cell_length_a 8.2544
_cell_length_b 2.8919
_cell_length_c 6.1193
_cell_angle_alpha 90.00
_cell_angle_beta 94.50
_cell_angle_gamma 90.00
_space_group_name_H-M_alt 'C 1 2/m 1'
_space_group_IT_number 12
loop_
_space_group_symop_operation_xyz
'x,y,z'
'-x,-y,-z'
'-x,y,-z'
'x,-y,z'
'x+1/2,y+1/2,z'
'-x+1/2,-y+1/2,-z'
'-x+1/2,y+1/2,-z'
'x+1/2,-y+1/2,z'
loop_
_atom_site_label
_atom_site_type_symbol
_atom_site_fract_x
_atom_site_fract_y
_atom_site_fract_z
Zr1 Zr 0.2405 0.0000 0.2594
Zn1 Zn 0.0000 0.5000 0.0000
Rh1 Rh 0.0000 0.0000 0.5000
```

Output
The density of states at the Fermi level is 3.5 states/eV/f.u. The value obtained for the calculated formation energy is -0.19 eV per atom. The value obtained for the volume is 18.20 Å³/atom. Its total energy is -57.34 eV per cell. As for the crystal system: monoclinic.

=====

ZrZn4Rh: relaxed, PBEsol.

The structure in CIF format:
```
data_ZrZn4Rh
_chemical_formula_sum 'Zr4 Zn16 Rh4'
_cell_length_a 7.0103
_cell_length_b 7.0103
_cell_length_c 7.0103
_cell_angle_alpha 90.00
_cell_angle_beta 90.00
_cell_angle_gamma 90.00
_space_group_name_H-M_alt 'F -4 3 m'
_space_group_IT_number 216
_space_group_name_Hall 'F -4 2 3'
loop_
_atom_site_label
_atom_site_type_symbol
_atom_site_fract_x
_atom_site_fract_y
_atom_site_fract_z
Zr1 Zr 0.0000 0.0000 0.0000
Zn1 Zn 0.1246 0.1246 0.6246
Rh1 Rh 0.2500 0.2500 0.2500
```

Output
The density of states at the Fermi level is 5.4 states/eV/f.u. The value obtained for the calculated formation energy is -0.34 eV per atom. The value obtained for the volume is 14.36 Å³/atom. Its total energy is -102.29 eV per cell. As for the crystal system: cubic.

=====

Zr2ZnRh2: relaxed, PBEsol.

The structure in CIF format:
```
data_Zr2ZnRh2
_chemical_formula_sum 'Zr4 Zn2 Rh4'
_cell_length_a 7.1983
_cell_length_b 7.1983
_cell_length_c 3.3388
_cell_angle_alpha 90.00
_cell_angle_beta 90.00
_cell_angle_gamma 90.00
_space_group_name_H-M_alt 'P 4/m b m'
_space_group_IT_number 127
_space_group_name_Hall '-P 4 2ab'
loop_
_atom_site_label
_atom_site_type_symbol
_atom_site_fract_x
_atom_site_fract_y
_atom_site_fract_z
Zr1 Zr 0.1695 0.3305 0.0000
Zn1 Zn 0.0000 0.0000 0.5000
Rh1 Rh 0.1352 0.6352 0.5000
```

Output
The density of states at the Fermi level is 4.5 states/eV/f.u. The value obtained for the calculated formation energy is -0.60 eV per atom. The value obtained for the volume is 17.30 Å³/atom. Its total energy is -78.03 eV per cell. As for the crystal system: tetragonal.

=====

Zr3ZnRh: relaxed, PBEsol.

The structure in CIF format:
```
data_Zr3ZnRh
_chemical_formula_sum 'Zr3 Zn1 Rh1'
_cell_length_a 4.9248
_cell_length_b 4.9248
_cell_length_c 4.9248
_cell_angle_alpha 90.00
_cell_angle_beta 90.00
_cell_angle_gamma 90.00
_space_group_name_H-M_alt 'P m -3 m'
_space_group_IT_number 221
_space_group_name_Hall '-P 4 2 3'
loop_
_atom_site_label
_atom_site_type_symbol
_atom_site_fract_x
_atom_site_fract_y
_atom_site_fract_z
Zr1 Zr 0.0000 0.0000 0.5000
Zn1 Zn 0.5000 0.5000 0.5000
Rh1 Rh 0.0000 0.0000 0.0000
```

Output
The density of states at the Fermi level is 8.6 states/eV/f.u. The value obtained for the calculated formation energy is 0.35 eV per atom. The value obtained for the volume is 23.89 Å³/atom. Its total energy is -35.25 eV per cell. As for the crystal system: cubic.

=====

Zr2ZnRh: relaxed, PBEsol.

The structure in CIF format:
```
data_Zr2ZnRh
_chemical_formula_sum 'Zr2 Zn1 Rh1'
_cell_length_a 3.2412
_cell_length_b 3.2412
_cell_length_c 6.6560
_cell_angle_alpha 90.00
_cell_angle_beta 90.00
_cell_angle_gamma 90.00
_space_group_name_H-M_alt 'P 4 m m'
_space_group_IT_number 99
loop_
_space_group_symop_operation_xyz
'x,y,z'
'-y,x,z'
'-x,-y,z'
'y,-x,z'
'-x,y,z'
'y,x,z'
'x,-y,z'
'-y,-x,z'
loop_
_atom_site_label
_atom_site_type_symbol
_atom_site_fract_x
_atom_site_fract_y
_atom_site_fract_z
Zr1 Zr 0.0000 0.0000 0.0000
Zr2 Zr 0.5000 0.5000 0.3077
Zn1 Zn 0.5000 0.5000 0.7393
Rh1 Rh 0.0000 0.0000 0.5358
```

Output
The density of states at the Fermi level is 2.0 states/eV/f.u. The value obtained for the calculated formation energy is -0.45 eV per atom. The value obtained for the volume is 17.48 Å³/atom. Its total energy is -29.69 eV per cell. As for the crystal system: tetragonal.

=====

Zr2ZnRh: relaxed, PBEsol.

The structure in CIF format:
```
data_Zr2ZnRh
_chemical_formula_sum 'Zr4 Zn2 Rh2'
_cell_length_a 3.3195
_cell_length_b 4.4356
_cell_length_c 9.5624
_cell_angle_alpha 90.00
_cell_angle_beta 90.00
_cell_angle_gamma 90.00
_space_group_name_H-M_alt 'I m m 2'
_space_group_IT_number 44
loop_
_space_group_symop_operation_xyz
'x,y,z'
'-x,-y,z'
'-x,y,z'
'x,-y,z'
'x+1/2,y+1/2,z+1/2'
'-x+1/2,-y+1/2,z+1/2'
'-x+1/2,y+1/2,z+1/2'
'x+1/2,-y+1/2,z+1/2'
loop_
_atom_site_label
_atom_site_type_symbol
_atom_site_fract_x
_atom_site_fract_y
_atom_site_fract_z
Zr1 Zr 0.0000 0.0000 0.0000
Zr2 Zr 0.0000 0.5000 0.2309
Zn1 Zn 0.0000 0.0000 0.4516
Rh1 Rh 0.0000 0.5000 0.7315
```

Output
The density of states at the Fermi level is 4.0 states/eV/f.u. The value obtained for the calculated formation energy is -0.40 eV per atom. The value obtained for the volume is 17.60 Å³/atom. Its total energy is -59.02 eV per cell. As for the crystal system: orthorhombic.

=====

Zr2ZnRh: relaxed, PBEsol.

The structure in CIF format:
```
data_Zr2ZnRh
_chemical_formula_sum 'Zr2 Zn1 Rh1'
_cell_length_a 4.4906
_cell_length_b 4.4906
_cell_length_c 3.4547
_cell_angle_alpha 90.00
_cell_angle_beta 90.00
_cell_angle_gamma 90.00
_space_group_name_H-M_alt 'P 4/m m m'
_space_group_IT_number 123
_space_group_name_Hall '-P 4 2'
loop_
_atom_site_label
_atom_site_type_symbol
_atom_site_fract_x
_atom_site_fract_y
_atom_site_fract_z
Zr1 Zr 0.0000 0.5000 0.0000
Zn1 Zn 0.0000 0.0000 0.5000
Rh1 Rh 0.5000 0.5000 0.5000
```

Output
The density of states at the Fermi level is 3.5 states/eV/f.u. The value obtained for the calculated formation energy is -0.49 eV per atom. The value obtained for the volume is 17.42 Å³/atom. Its total energy is -29.84 eV per cell. As for the crystal system: tetragonal.

=====

Zr2ZnRh: relaxed, PBEsol.

The structure in CIF format:
```
data_Zr2ZnRh
_chemical_formula_sum 'Zr4 Zn2 Rh2'
_cell_length_a 4.2000
_cell_length_b 3.3380
_cell_length_c 10.2082
_cell_angle_alpha 90.00
_cell_angle_beta 90.00
_cell_angle_gamma 90.00
_space_group_name_H-M_alt 'A m m 2'
_space_group_IT_number 38
loop_
_space_group_symop_operation_xyz
'x,y,z'
'-x,-y,z'
'-x,y,z'
'x,-y,z'
'x,y+1/2,z+1/2'
'-x,-y+1/2,z+1/2'
'-x,y+1/2,z+1/2'
'x,-y+1/2,z+1/2'
loop_
_atom_site_label
_atom_site_type_symbol
_atom_site_fract_x
_atom_site_fract_y
_atom_site_fract_z
Zr1 Zr 0.0000 0.0000 0.0000
Zr2 Zr 0.5000 0.0000 0.2935
Zn1 Zn 0.5000 0.0000 0.5699
Rh1 Rh 0.0000 0.0000 0.7329
```

Output
The density of states at the Fermi level is 3.8 states/eV/f.u. The value obtained for the calculated formation energy is -0.50 eV per atom. The value obtained for the volume is 17.89 Å³/atom. Its total energy is -59.80 eV per cell. As for the crystal system: orthorhombic.

=====

Zr4Rh: relaxed, PBEsol.

The structure in CIF format:
```
data_Zr4Rh
_chemical_formula_sum 'Zr8 Rh2'
_cell_length_a 7.7333
_cell_length_b 7.7333
_cell_length_c 3.3238
_cell_angle_alpha 90.00
_cell_angle_beta 90.00
_cell_angle_gamma 90.00
_space_group_name_H-M_alt 'I 4/m'
_space_group_IT_number 87
_space_group_name_Hall '-I 4'
loop_
_atom_site_label
_atom_site_type_symbol
_atom_site_fract_x
_atom_site_fract_y
_atom_site_fract_z
Zr1 Zr 0.0871 0.7184 0.0000
Rh1 Rh 0.0000 0.0000 0.5000
```

Output
The density of states at the Fermi level is 5.7 states/eV/f.u. The value obtained for the calculated formation energy is -0.33 eV per atom. The energy above the most stable polymorph in this dataset comes out at 0.00 eV per formula unit. The value obtained for the volume is 19.88 Å³/atom. Its total energy is -92.26 eV per cell. As for the crystal system: tetragonal.